NaAl6Fe3Si6B3O30F, optimized geometry, DFT PBE with a Hubbard U; density = 3.22 g cm⁻³; E = -374.38 eV per cell
1.0
7.315 0.000 0.000
-2.438 9.250 0.000
-2.438 -4.625 8.010
O B Si Fe Al Na F
30 3 6 3 6 1 1
Direct
0.392 0.600 0.000
0.167 0.000 0.280
0.362 0.817 0.817
0.501 0.330 0.850
0.546 0.000 0.183
0.789 0.713 0.427
0.988 0.000 0.726
0.789 0.427 0.713
0.887 0.720 0.720
0.969 0.199 0.384
0.651 0.480 0.150
0.075 0.287 0.714
0.546 0.183 0.000
0.969 0.384 0.199
0.651 0.150 0.480
0.988 0.726 0.000
0.770 0.801 0.185
0.361 0.573 0.286
0.261 0.274 0.274
0.585 0.616 0.815
0.791 0.400 0.400
0.171 0.520 0.670
0.171 0.670 0.520
0.501 0.850 0.330
0.075 0.714 0.287
0.392 0.000 0.600
0.585 0.815 0.616
0.770 0.185 0.801
0.167 0.280 0.000
0.361 0.286 0.573
0.232 0.667 0.667
0.565 0.000 0.333
0.565 0.333 0.000
0.806 0.809 0.617
0.189 0.383 0.193
0.997 0.807 0.191
0.997 0.191 0.807
0.806 0.617 0.809
0.189 0.193 0.383
0.549 0.000 0.794
0.755 0.206 0.206
0.549 0.794 0.000
0.564 0.218 0.659
0.346 0.782 0.441
0.564 0.659 0.218
0.904 0.559 0.341
0.904 0.341 0.559
0.346 0.441 0.782
0.219 0.000 0.000
0.770 0.000 0.000